An optimized crystal structure of CaPm3Nd2Sm6. Source: the Alexandria database, functional PBE.

Output
The crystal system is monoclinic. The raw total energy is -4.4752 eV per atom.

abc: 6.342 6.342 12.122
angles: 95.01 95.01 120.02
Element x y z (fractional)
Ca (0.000, 0.000, 0.000)
Pm (0.166, 0.834, 0.500)
Pm (0.834, 0.166, 0.500)
Pm (0.500, 0.500, 0.500)
Nd (0.333, 0.667, 0.000)
Nd (0.667, 0.333, 0.000)
Sm (0.915, 0.577, 0.747)
Sm (0.747, 0.747, 0.253)
Sm (0.085, 0.423, 0.253)
Sm (0.577, 0.915, 0.747)
Sm (0.253, 0.253, 0.747)
Sm (0.423, 0.085, 0.253)



An optimized crystal structure of CaTbPm2Nd6. Source: the Alexandria database, functional PBE.

Output
The crystal system is monoclinic. The raw total energy is -4.3489 eV per atom.

abc: 9.997 9.079 9.079
angles: 118.81 94.64 94.64
Element x y z (fractional)
Ca (0.250, 0.402, 0.598)
Ca (0.750, 0.598, 0.402)
Tb (0.250, 0.977, 0.023)
Tb (0.750, 0.023, 0.977)
Pm (0.458, 0.799, 0.701)
Pm (0.042, 0.299, 0.201)
Pm (0.542, 0.201, 0.299)
Pm (0.958, 0.701, 0.799)
Nd (0.052, 0.118, 0.763)
Nd (0.448, 0.237, 0.882)
Nd (0.948, 0.882, 0.237)
Nd (0.552, 0.763, 0.118)
Nd (0.323, 0.971, 0.425)
Nd (0.177, 0.575, 0.029)
Nd (0.677, 0.029, 0.575)
Nd (0.823, 0.425, 0.971)
Nd (0.123, 0.715, 0.502)
Nd (0.377, 0.498, 0.285)
Nd (0.877, 0.285, 0.498)
Nd (0.623, 0.502, 0.715)



An optimized crystal structure of CaTb2Pm2Nd2. Source: the Alexandria database, functional PBE.

Output
The crystal system is monoclinic. The raw total energy is -4.2788 eV per atom.

abc: 5.176 6.327 8.206
angles: 97.62 90.00 114.15
Element x y z (fractional)
Ca (0.000, 0.000, 0.000)
Tb (0.575, 0.151, 0.705)
Tb (0.425, 0.849, 0.295)
Pm (0.144, 0.288, 0.433)
Pm (0.856, 0.712, 0.567)
Nd (0.717, 0.433, 0.148)
Nd (0.283, 0.567, 0.852)



An optimized crystal structure of CaTb2Pm3Nd6. Source: the Alexandria database, functional PBE.

Output
The crystal system is monoclinic. The raw total energy is -4.4771 eV per atom.

abc: 6.372 6.372 12.072
angles: 95.02 95.02 120.02
Element x y z (fractional)
Ca (0.000, 0.000, 0.000)
Tb (0.333, 0.667, 0.000)
Tb (0.667, 0.333, 0.000)
Pm (0.166, 0.834, 0.500)
Pm (0.834, 0.166, 0.500)
Pm (0.500, 0.500, 0.500)
Nd (0.915, 0.575, 0.750)
Nd (0.744, 0.744, 0.251)
Nd (0.085, 0.425, 0.250)
Nd (0.575, 0.915, 0.750)
Nd (0.256, 0.256, 0.749)
Nd (0.425, 0.085, 0.250)



An optimized crystal structure of CaTb3Pm2Nd6. Source: the Alexandria database, functional PBE.

Output
The crystal system is monoclinic. The raw total energy is -4.4735 eV per atom.

abc: 6.347 6.347 12.055
angles: 95.01 95.01 120.02
Element x y z (fractional)
Ca (0.000, 0.000, 0.000)
Tb (0.166, 0.834, 0.500)
Tb (0.834, 0.166, 0.500)
Tb (0.500, 0.500, 0.500)
Pm (0.333, 0.667, 0.000)
Pm (0.667, 0.333, 0.000)
Nd (0.915, 0.576, 0.745)
Nd (0.747, 0.747, 0.256)
Nd (0.085, 0.424, 0.255)
Nd (0.576, 0.915, 0.745)
Nd (0.253, 0.253, 0.744)
Nd (0.424, 0.085, 0.255)



An optimized crystal structure of CaTb4Pm2Nd. Source: the Alexandria database, functional PBE.

Output
The crystal system is monoclinic. The raw total energy is -3.9382 eV per atom.

abc: 9.658 9.658 12.014
angles: 128.51 128.51 88.30
Element x y z (fractional)
Ca (0.500, 0.500, 0.500)
Ca (0.000, 0.000, 0.000)
Tb (0.253, 0.748, 0.005)
Tb (0.752, 0.247, 0.495)
Tb (0.248, 0.753, 0.505)
Tb (0.747, 0.252, 0.995)
Tb (0.744, 0.745, 0.008)
Tb (0.755, 0.756, 0.492)
Tb (0.245, 0.244, 0.508)
Tb (0.256, 0.255, 0.992)
Pm (0.500, 0.000, 0.000)
Pm (0.500, 0.000, 0.500)
Pm (0.000, 0.000, 0.500)
Pm (0.500, 0.500, 0.000)
Nd (0.000, 0.500, 0.000)
Nd (0.000, 0.500, 0.500)



An optimized crystal structure of CaTb2Pm6Nd. Source: the Alexandria database, functional PBE.

Output
The crystal system is monoclinic. The raw total energy is -4.3211 eV per atom.

abc: 9.904 9.012 9.012
angles: 118.50 94.18 94.18
Element x y z (fractional)
Ca (0.250, 0.402, 0.598)
Ca (0.750, 0.598, 0.402)
Tb (0.456, 0.801, 0.699)
Tb (0.044, 0.301, 0.199)
Tb (0.544, 0.199, 0.301)
Tb (0.956, 0.699, 0.801)
Pm (0.052, 0.115, 0.759)
Pm (0.448, 0.241, 0.885)
Pm (0.948, 0.885, 0.241)
Pm (0.552, 0.759, 0.115)
Pm (0.323, 0.972, 0.432)
Pm (0.177, 0.568, 0.028)
Pm (0.677, 0.028, 0.568)
Pm (0.823, 0.432, 0.972)
Pm (0.122, 0.710, 0.496)
Pm (0.378, 0.504, 0.290)
Pm (0.878, 0.290, 0.504)
Pm (0.622, 0.496, 0.710)
Nd (0.250, 0.974, 0.026)
Nd (0.750, 0.026, 0.974)



An optimized crystal structure of CaTb4PmNd2. Source: the Alexandria database, functional PBE.

Output
The crystal system is monoclinic. The raw total energy is -3.9424 eV per atom.

abc: 9.662 9.662 12.025
angles: 128.49 128.49 88.34
Element x y z (fractional)
Ca (0.500, 0.500, 0.500)
Ca (0.000, 0.000, 0.000)
Tb (0.251, 0.748, 0.003)
Tb (0.752, 0.249, 0.497)
Tb (0.248, 0.751, 0.503)
Tb (0.749, 0.252, 0.997)
Tb (0.749, 0.748, 0.011)
Tb (0.752, 0.751, 0.489)
Tb (0.248, 0.249, 0.511)
Tb (0.251, 0.252, 0.989)
Pm (0.000, 0.500, 0.000)
Pm (0.000, 0.500, 0.500)
Nd (0.500, 0.000, 0.000)
Nd (0.500, 0.000, 0.500)
Nd (0.000, 0.000, 0.500)
Nd (0.500, 0.500, 0.000)



An optimized crystal structure of CaTb2Pm6Nd3. Source: the Alexandria database, functional PBE.

Output
The crystal system is monoclinic. The raw total energy is -4.4676 eV per atom.

abc: 6.354 6.354 12.071
angles: 95.01 95.01 120.03
Element x y z (fractional)
Ca (0.000, 0.000, 0.000)
Tb (0.333, 0.667, 0.000)
Tb (0.667, 0.333, 0.000)
Pm (0.916, 0.575, 0.751)
Pm (0.744, 0.744, 0.250)
Pm (0.084, 0.425, 0.249)
Pm (0.575, 0.916, 0.751)
Pm (0.256, 0.256, 0.750)
Pm (0.425, 0.084, 0.249)
Nd (0.166, 0.834, 0.500)
Nd (0.834, 0.166, 0.500)
Nd (0.500, 0.500, 0.500)



An optimized crystal structure of Ca3Pm2NdTe6. Source: the Alexandria database, functional PBE.

Output
The uncorrected formation energy is -18.13 eV per formula unit. The crystal system is monoclinic.

abc: 4.449 9.053 10.099
angles: 104.49 102.72 90.00
Element x y z (fractional)
Ca (0.500, 0.500, 0.000)
Ca (0.834, 0.167, 0.667)
Ca (0.166, 0.833, 0.333)
Pm (0.834, 0.669, 0.668)
Pm (0.166, 0.331, 0.332)
Nd (0.500, 0.000, 0.000)
Te (0.332, 0.919, 0.664)
Te (0.667, 0.584, 0.333)
Te (0.668, 0.081, 0.336)
Te (0.999, 0.254, 0.998)
Te (0.001, 0.746, 0.002)
Te (0.333, 0.416, 0.667)